This record from the Alexandria database describes a relaxed structure of CuTeMo2. The functional is PBE.

density = 9.57 g/cm³
DOS at the Fermi energy = 3.33 states/eV/f.u.
volume = 16.6 Å³/atom
space-group type = F-43m (216)
E = -6.696 eV per atom
size of the total moment = 0.43 μB per cell
uncorrected formation energy = 529 meV per atom

Cell: 4.547 4.547 4.547 Å, 60.00 60.00 60.00°
Site moments in Bohr magnetons follow the coordinates.
Positions (direct):
Cu1 0.500 0.500 0.500  0.01
Mo1 0.000 0.000 0.000  -0.09
Mo2 0.750 0.750 0.750  0.42
Te1 0.250 0.250 0.250  0.01